# K2SrSc (GGA-PBE, optimized geometry)
# ΔE_f: 0.531 eV per atom
# Calculated total energy: -2.021 eV/atom
# Energy above the lowest structure with this stoichiometry: 0.177 eV per atom
data_K2SrSc
_chemical_formula_sum 'K2 Sr1 Sc1'
_cell_length_a 5.335
_cell_length_b 5.335
_cell_length_c 6.833
_cell_angle_alpha 90.00
_cell_angle_beta 90.00
_cell_angle_gamma 90.00
_space_group_name_H-M_alt 'P 4/m m m'
_space_group_IT_number 123
_space_group_name_Hall '-P 4 2'
loop_
_atom_site_label
_atom_site_type_symbol
_atom_site_fract_x
_atom_site_fract_y
_atom_site_fract_z
_atom_site_occupancy
K1 K 0.000 0.500 0.000 1
Sr1 Sr 0.000 0.000 0.500 1
Sc1 Sc 0.500 0.500 0.500 1